(1)
Here is a geometry-optimized Zn4GaAu structure from the Alexandria database. Energies are from PBE.

Cell: 4.6278 5.2143 8.7878 Å, 107.67 105.52 89.93°
With the nearest neighbours (Å) after each atom.
Sites, in units of the cell vectors:
Zn (0.1657, 0.2252, 0.8335)  4 Zn 2.68-2.80, 1 Ga 2.70, 4 Au 2.73-2.97
Zn (0.9163, 0.3902, 0.3338)  3 Ga 2.67-2.81, 4 Zn 2.68-2.80, 1 Au 2.69
Zn (0.0837, 0.6098, 0.6662)  3 Ga 2.67-2.81, 4 Zn 2.68-2.80, 1 Au 2.69
Zn (0.3332, 0.3890, 0.1670)  4 Zn 2.68-2.79, 1 Ga 2.69, 4 Au 2.73-2.93
Zn (0.6668, 0.6110, 0.8330)  4 Zn 2.68-2.79, 1 Ga 2.69, 4 Au 2.73-2.93
Zn (0.4168, 0.9438, 0.3344)  3 Ga 2.67-2.80, 4 Zn 2.68-2.79, 1 Au 2.69
Zn (0.5832, 0.0562, 0.6656)  3 Ga 2.67-2.80, 4 Zn 2.68-2.79, 1 Au 2.69
Zn (0.8343, 0.7748, 0.1665)  4 Zn 2.68-2.80, 1 Ga 2.70, 4 Au 2.73-2.97
Au (0.7489, 0.1964, 0.9994)  10 Zn 2.69-2.97
Au (0.2511, 0.8036, 0.0006)  10 Zn 2.69-2.97
Ga (0.0000, 0.0000, 0.5000)  8 Zn 2.67-2.81
Ga (0.5000, 0.5000, 0.5000)  8 Zn 2.67-2.80

Calculated values
- DFT formation energy (eV per atom) = -0.07
- V (Å³ per cell) = 194
- space-group type = P-1
- energy relative to the lowest polymorph listed for this composition (meV per atom) = 0

***

(2)
Here is a geometry-optimized Zn3GaAu structure from the Alexandria database. Energies are from PBE.

Cell: 4.4655 4.9239 7.7597 Å, 89.97 101.64 90.00°
With the nearest neighbours (Å) after each atom.
Sites, in units of the cell vectors:
Zn (0.9654, 0.2610, 0.2209)  7 Zn 2.67-2.97, 2 Au 2.74-2.85, 2 Ga 2.88-2.98
Zn (0.0601, 0.7611, 0.3936)  7 Zn 2.67-2.96, 2 Au 2.74-2.86, 2 Ga 2.88-2.98
Zn (0.5703, 0.4602, 0.4093)  6 Zn 2.67-2.97, 3 Au 2.75-2.83, 2 Ga 2.75-2.94
Zn (0.8118, 0.2654, 0.8577)  3 Ga 2.62-2.78, 3 Au 2.65-2.82, 1 Zn 2.76
Zn (0.4554, 0.9600, 0.2056)  6 Zn 2.67-2.96, 3 Au 2.75-2.83, 2 Ga 2.75-2.95
Zn (0.2142, 0.7630, 0.7566)  3 Ga 2.62-2.78, 3 Au 2.65-2.82, 1 Zn 2.76
Ga (0.8568, 0.7829, 0.0035)  5 Zn 2.62-2.88, 2 Au 2.71-2.83
Ga (0.1680, 0.2814, 0.6102)  5 Zn 2.62-2.88, 2 Au 2.71-2.82
Au (0.6404, 0.9543, 0.5765)  8 Zn 2.65-2.86, 2 Ga 2.71-2.82
Au (0.3859, 0.4547, 0.0390)  8 Zn 2.65-2.85, 2 Ga 2.71-2.83

Calculated values
- DFT formation energy (eV per atom) = -0.06
- V (Å³ per cell) = 167
- space-group type = P1
- energy relative to the lowest polymorph listed for this composition (meV per atom) = 0

***

(3)
Here is a geometry-optimized Zn6Ga12Au structure from the Alexandria database. Energies are from PBE.

Cell: 7.1610 7.1610 7.1610 Å, 98.90 98.90 98.90°
With the nearest neighbours (Å) after each atom.
Sites, in units of the cell vectors:
Ga (0.8683, 0.3299, 0.0059)  1 Au 2.67, 2 Zn 2.69, 5 Ga 2.69-2.94
Ga (0.4978, 0.6433, 0.1692)  4 Zn 2.62-2.83, 3 Ga 2.69-2.93
Ga (0.9941, 0.1317, 0.6701)  1 Au 2.67, 2 Zn 2.69, 5 Ga 2.69-2.94
Ga (0.3567, 0.8308, 0.5022)  4 Zn 2.62-2.83, 3 Ga 2.69-2.93
Ga (0.8308, 0.5022, 0.3567)  4 Zn 2.62-2.83, 3 Ga 2.69-2.93
Ga (0.5022, 0.3567, 0.8308)  4 Zn 2.62-2.83, 3 Ga 2.69-2.93
Ga (0.1692, 0.4978, 0.6433)  4 Zn 2.62-2.83, 3 Ga 2.69-2.93
Ga (0.0059, 0.8683, 0.3299)  1 Au 2.67, 2 Zn 2.69, 5 Ga 2.69-2.94
Ga (0.1317, 0.6701, 0.9941)  1 Au 2.67, 2 Zn 2.69, 5 Ga 2.69-2.94
Ga (0.6433, 0.1692, 0.4978)  4 Zn 2.62-2.83, 3 Ga 2.69-2.93
Ga (0.6701, 0.9941, 0.1317)  1 Au 2.67, 2 Zn 2.69, 5 Ga 2.69-2.94
Ga (0.3299, 0.0059, 0.8683)  1 Au 2.67, 2 Zn 2.69, 5 Ga 2.69-2.94
Zn (0.4662, 0.2765, 0.1856)  6 Ga 2.62-2.83, 2 Zn 2.70
Zn (0.2765, 0.1856, 0.4662)  6 Ga 2.62-2.83, 2 Zn 2.70
Zn (0.8144, 0.5338, 0.7235)  6 Ga 2.62-2.83, 2 Zn 2.70
Zn (0.5338, 0.7235, 0.8144)  6 Ga 2.62-2.83, 2 Zn 2.70
Zn (0.1856, 0.4662, 0.2765)  6 Ga 2.62-2.83, 2 Zn 2.70
Zn (0.7235, 0.8144, 0.5338)  6 Ga 2.62-2.83, 2 Zn 2.70
Au (0.0000, 0.0000, 0.0000)  6 Ga 2.67

Calculated values
- DFT formation energy (eV per atom) = 0.01
- V (Å³ per cell) = 352
- space-group type = R-3
- energy relative to the lowest polymorph listed for this composition (meV per atom) = 0

***

(4)
Here is a geometry-optimized ZnGa8Au2 structure from the Alexandria database. Energies are from PBE.

Cell: 4.7768 6.9171 6.9171 Å, 73.80 81.31 81.31°
With the nearest neighbours (Å) after each atom.
Sites, in units of the cell vectors:
Zn (0.0000, 0.0000, 0.0000)  6 Ga 2.69-2.77, 4 Au 2.77-2.82
Ga (0.1260, 0.7524, 0.7524)  2 Au 2.64-2.74, 4 Ga 2.67-2.80, 1 Zn 2.69
Ga (0.3112, 0.3778, 0.3778)  1 Au 2.65, 4 Ga 2.72-2.80
Ga (0.2202, 0.3549, 0.7813)  4 Ga 2.67-2.81, 1 Au 2.74, 1 Zn 2.77
Ga (0.8740, 0.2476, 0.2476)  2 Au 2.64-2.74, 4 Ga 2.67-2.80, 1 Zn 2.69
Ga (0.7798, 0.6451, 0.2187)  4 Ga 2.67-2.81, 1 Au 2.74, 1 Zn 2.77
Ga (0.7798, 0.2187, 0.6451)  4 Ga 2.67-2.81, 1 Au 2.74, 1 Zn 2.77
Ga (0.6888, 0.6222, 0.6222)  1 Au 2.65, 4 Ga 2.72-2.80
Ga (0.2202, 0.7813, 0.3549)  4 Ga 2.67-2.81, 1 Au 2.74, 1 Zn 2.77
Au (0.5654, 0.8662, 0.8662)  5 Ga 2.64-2.74, 2 Zn 2.77-2.82, 1 Au 2.91
Au (0.4346, 0.1338, 0.1338)  5 Ga 2.64-2.74, 2 Zn 2.77-2.82, 1 Au 2.91

Calculated values
- DFT formation energy (eV per atom) = -0.03
- V (Å³ per cell) = 216
- space-group type = C2/m